(1)
A geometry-optimized KNa5Tl3 structure, computed with PBE-GGA.

a b c (Å): 9.9438 9.9438 6.8391
angles (deg): 90.00 90.00 120.00
Element x y z (fractional)
K 0.0000 0.0000 0.0000
K 0.0000 0.0000 0.5000
Na 0.0000 0.3379 0.2500
Na 0.0000 0.6621 0.7500
Na 0.3333 0.6667 0.0000
Na 0.3333 0.6667 0.5000
Na 0.3379 0.0000 0.2500
Na 0.3379 0.3379 0.7500
Na 0.6621 0.0000 0.7500
Na 0.6621 0.6621 0.2500
Na 0.6667 0.3333 0.0000
Na 0.6667 0.3333 0.5000
Tl 0.0000 0.3455 0.7500
Tl 0.0000 0.6545 0.2500
Tl 0.3455 0.0000 0.7500
Tl 0.3455 0.3455 0.2500
Tl 0.6545 0.0000 0.2500
Tl 0.6545 0.6545 0.7500

D(E_F) ... 5.4 states/eV/f.u.
Energy relative to the elements ... -0.049 eV per atom
DFT total energy ... -1.692 eV/atom

***

(2)
A geometry-optimized KHf2Te structure, computed with PBE-GGA.

a b c (Å): 8.7583 8.7583 6.2193
angles (deg): 90.00 90.00 90.00
Element x y z (fractional)
K 0.0000 0.0000 0.0000
K 0.0000 0.5000 0.2500
K 0.5000 0.0000 0.7500
K 0.5000 0.5000 0.5000
Hf 0.1892 0.2500 0.6250
Hf 0.2500 0.6892 0.8750
Hf 0.2500 0.8108 0.3750
Hf 0.3108 0.2500 0.1250
Hf 0.6892 0.7500 0.1250
Hf 0.7500 0.1892 0.3750
Hf 0.7500 0.3108 0.8750
Hf 0.8108 0.7500 0.6250
Te 0.0000 0.0000 0.5000
Te 0.0000 0.5000 0.7500
Te 0.5000 0.0000 0.2500
Te 0.5000 0.5000 0.0000

D(E_F) ... 6.9 states/eV/f.u.
DFT total energy ... -5.364 eV/atom
Uncorrected formation energy ... 260 kJ/mol of formula units

***

(3)
A geometry-optimized BaRh2Se structure, computed with PBE-GGA.

a b c (Å): 4.1550 4.1550 9.7200
angles (deg): 90.00 90.00 90.00
Element x y z (fractional)
Ba 0.0000 0.0000 0.0000
Ba 0.5000 0.5000 0.5000
Rh 0.0000 0.0000 0.5000
Rh 0.0000 0.5000 0.7500
Rh 0.5000 0.0000 0.2500
Rh 0.5000 0.5000 0.0000
Se 0.0000 0.5000 0.2500
Se 0.5000 0.0000 0.7500

D(E_F) ... 5.6 states/eV/f.u.
DFT total energy ... -4.905 eV/atom
Uncorrected formation energy ... 47 kJ/mol of formula units

***

(4)
A geometry-optimized Ba2Ga3Bi5 structure, computed with PBE-GGA.

a b c (Å): 10.9852 10.9852 10.9852
angles (deg): 122.21 70.91 142.55
Element x y z (fractional)
Ba 0.1196 0.2467 0.3663
Ba 0.3804 0.7467 0.1272
Ba 0.6196 0.2533 0.8728
Ba 0.8804 0.7533 0.6337
Ga 0.1224 0.6070 0.7294
Ga 0.2500 0.2500 0.0000
Ga 0.3776 0.1070 0.4846
Ga 0.6224 0.8930 0.5154
Ga 0.7500 0.7500 0.0000
Ga 0.8776 0.3930 0.2706
Bi 0.0095 0.7500 0.2595
Bi 0.1085 0.8793 0.9878
Bi 0.2500 0.7500 0.5000
Bi 0.3915 0.3793 0.7709
Bi 0.4905 0.7500 0.7405
Bi 0.5095 0.2500 0.2595
Bi 0.6085 0.6207 0.2291
Bi 0.7500 0.2500 0.5000
Bi 0.8915 0.1207 0.0122
Bi 0.9905 0.2500 0.7405

D(E_F) ... 4.6 states/eV/f.u.
Energy relative to the elements ... -0.350 eV per atom
DFT total energy ... -3.583 eV/atom

***

(5)
A geometry-optimized CeU2S4 structure, computed with PBE-GGA.

a b c (Å): 6.7650 6.7650 13.0172
angles (deg): 90.00 90.00 146.79
Element x y z (fractional)
Ce 0.1168 0.8832 0.7500
Ce 0.8832 0.1168 0.2500
U 0.3658 0.6342 0.5635
U 0.3658 0.6342 0.9365
U 0.6342 0.3658 0.0635
U 0.6342 0.3658 0.4365
S 0.0000 0.0000 0.0000
S 0.0000 0.0000 0.5000
S 0.2718 0.7282 0.1252
S 0.2718 0.7282 0.3748
S 0.4576 0.5424 0.7500
S 0.5424 0.4576 0.2500
S 0.7282 0.2718 0.6252
S 0.7282 0.2718 0.8748

D(E_F) ... 14.7 states/eV/f.u.
DFT total energy ... -7.992 eV/atom
Uncorrected formation energy ... -1054 kJ/mol of formula units

***

(6)
A geometry-optimized NdIn2Ag structure, computed with PBE-GGA.

a b c (Å): 4.8085 4.8085 17.1247
angles (deg): 90.00 90.00 90.00
Element x y z (fractional)
Nd 0.0000 0.0000 0.1311
Nd 0.0000 0.0000 0.8689
Nd 0.5000 0.5000 0.3689
Nd 0.5000 0.5000 0.6311
In 0.0000 0.0000 0.3546
In 0.0000 0.0000 0.6454
In 0.0000 0.5000 0.0000
In 0.0000 0.5000 0.5000
In 0.5000 0.0000 0.0000
In 0.5000 0.0000 0.5000
In 0.5000 0.5000 0.1454
In 0.5000 0.5000 0.8546
Ag 0.0000 0.5000 0.2500
Ag 0.0000 0.5000 0.7500
Ag 0.5000 0.0000 0.2500
Ag 0.5000 0.0000 0.7500

D(E_F) ... 1.8 states/eV/f.u.
Energy relative to the elements ... -0.402 eV per atom
DFT total energy ... -3.676 eV/atom

***

(7)
A geometry-optimized NaY2Ge3Pt4 structure, computed with PBE-GGA.

a b c (Å): 4.1588 4.1588 11.1422
angles (deg): 90.00 90.00 90.00
Element x y z (fractional)
Na 0.0000 0.0000 0.0000
Y 0.0000 0.5000 0.7371
Y 0.5000 0.0000 0.2629
Ge 0.0000 0.5000 0.3694
Ge 0.5000 0.0000 0.6306
Ge 0.5000 0.5000 0.0000
Pt 0.0000 0.0000 0.5000
Pt 0.0000 0.5000 0.1531
Pt 0.5000 0.0000 0.8469
Pt 0.5000 0.5000 0.5000

D(E_F) ... 5.9 states/eV/f.u.
Energy relative to the elements ... -0.771 eV per atom
DFT total energy ... -5.998 eV/atom

***

(8)
A geometry-optimized U2TaTc5 structure, computed with PBE-GGA.

a b c (Å): 5.5920 10.7987 4.5275
angles (deg): 90.00 90.00 90.00
Element x y z (fractional)
U 0.1465 0.1423 0.0000
U 0.3535 0.6423 0.0000
U 0.6465 0.3577 0.0000
U 0.8535 0.8577 0.0000
Ta 0.0000 0.5000 0.5000
Ta 0.5000 0.0000 0.5000
Tc 0.0000 0.0000 0.5000
Tc 0.1325 0.7423 0.5000
Tc 0.1634 0.3921 0.0000
Tc 0.3366 0.8921 0.0000
Tc 0.3675 0.2423 0.5000
Tc 0.5000 0.5000 0.5000
Tc 0.6325 0.7577 0.5000
Tc 0.6634 0.1079 0.0000
Tc 0.8366 0.6079 0.0000
Tc 0.8675 0.2577 0.5000

D(E_F) ... 8.8 states/eV/f.u.
Energy relative to the elements ... -0.116 eV per atom
DFT total energy ... -10.898 eV/atom

***

Question: Which formula does entry 2 have?
Answer: KHf2Te

***

Question: Number 6 is which compound?
Answer: NdIn2Ag

***

Question: The lowest D(E_F) belongs to which entry?
Answer: NdIn2Ag

***

Question: Which value of DFT total energy does entry 8 give?
Answer: -10.898 eV/atom